Computed, not measured: a relaxed structure of K2RbTa at the PBE level of DFT.

a = 6.436 Å, b = 6.436 Å, c = 6.436 Å
α = 60.00°, β = 60.00°, γ = 60.00°
Fractional coordinates of all 4 atoms:
K  0.250  0.250  0.250
K  0.750  0.750  0.750
Rb  0.000  0.000  0.000
Ta  0.500  0.500  0.500

Computed properties:
**Energy of formation**: 1.410 eV/atom
**Excess energy over the best structure of this formula in the dataset**: 0 meV/atom